No. 1
Computed, not measured: a relaxed Zr3AlOs4 crystal at the PBE level of DFT.

Cell: 3.246 3.246 12.750 Å, 90.00 90.00 90.00°
Space group P4/mmm (No. 123)
Asymmetric unit:
Zr1 0.000 0.000 0.000 x1
Zr2 0.000 0.000 0.262 x2
Al1 0.000 0.000 0.500 x1
Os1 0.500 0.500 0.129 x2
Os2 0.500 0.500 0.387 x2

Values from the calculation:
energy relative to the elements = -47.0 kJ/mol of atoms

No. 2
Computed, not measured: a relaxed CePmTl crystal at the PBE level of DFT.

Cell: 3.560 17.733 5.437 Å, 90.00 90.00 90.00°
Space group Cmcm (No. 63)
Asymmetric unit:
Ce1 0.000 0.238 0.250 x4
Pm1 0.000 0.433 0.750 x4
Tl1 0.000 0.104 0.750 x4

Values from the calculation:
energy relative to the elements = -20.1 kJ/mol of atoms

No. 3
Computed, not measured: a relaxed PmH6PdRh crystal at the PBE level of DFT.

Cell: 4.7927 4.7927 4.1964 Å, 90.00 90.00 120.00°
Space group P312 (No. 149)
Asymmetric unit:
Pm1 0.0000 0.0000 0.0000 x1
H1 0.5074 0.0171 0.7679 x6
Pd1 0.3333 0.6667 0.5000 x1
Rh1 0.6667 0.3333 0.5000 x1

Values from the calculation:
final energy = -4.49 eV/atom

No. 4
Computed, not measured: a relaxed Tb4Zn5Au6 crystal at the PBE level of DFT.

Cell: 3.948 21.531 14.987 Å, 90.00 90.00 90.00°
Space group Cmc2_1 (No. 36)
Asymmetric unit:
Tb1 0.000 0.023 0.000 x4
Tb2 0.000 0.051 0.270 x4
Tb3 0.000 0.143 0.782 x4
Tb4 0.000 0.190 0.438 x4
Zn1 0.000 0.170 0.138 x4
Zn2 0.000 0.309 0.107 x4
Zn3 0.000 0.333 0.774 x4
Zn4 0.000 0.363 0.457 x4
Zn5 0.000 0.461 0.160 x4
Au1 0.000 0.103 0.588 x4
Au2 0.000 0.215 0.978 x4
Au3 0.000 0.254 0.265 x4
Au4 0.000 0.413 0.624 x4
Au5 0.000 0.418 0.922 x4
Au6 0.000 0.457 0.342 x4

Values from the calculation:
energy relative to the elements = -55.1 kJ/mol of atoms

| no. | total moment (Bohr magnetons per cell) |
| --- | --- |
| 1 | 0.0 |
| 2 | 2.0 |
| 3 | 0.0 |
| 4 | 0.0 |